Entry 1:
Compound: KOs4Se
Source: Alexandria via LeMat-Bulk
Functional: PBE
Structure: optimized geometry

Structure (CIF):
```
data_KOs4Se
_chemical_formula_sum 'K1 Os4 Se1'
_symmetry_space_group_name_H-M 'P 1'
_symmetry_Int_Tables_number 1
_cell_length_a 5.329
_cell_length_b 5.329
_cell_length_c 5.329
_cell_angle_alpha 60.00
_cell_angle_beta 60.00
_cell_angle_gamma 60.00
loop_
_symmetry_equiv_pos_as_xyz
'x,y,z'
loop_
_atom_site_label
_atom_site_type_symbol
_atom_site_fract_x
_atom_site_fract_y
_atom_site_fract_z
K1 K 0.000 0.000 0.000
Os1 Os 0.127 0.624 0.624
Os2 Os 0.624 0.127 0.624
Os3 Os 0.624 0.624 0.127
Os4 Os 0.624 0.624 0.624
Se1 Se 0.250 0.250 0.250
```

Summary:
Energy relative to the elements, uncorrected in meV per atom: 1270
E in eV/atom: -6.980
Calculated volume in Å³ per cell: 107
Space-group type: F-43m (216)
DOS(E_F) in states/eV per cell: 8.978

***

Entry 2:
Compound: TbNp2Ni9
Source: Alexandria via LeMat-Bulk
Functional: PBE
Structure: optimized geometry

Structure (CIF):
```
data_TbNp2Ni9
_chemical_formula_sum 'Tb1 Np2 Ni9'
_symmetry_space_group_name_H-M 'P 1'
_symmetry_Int_Tables_number 1
_cell_length_a 8.620
_cell_length_b 8.620
_cell_length_c 8.620
_cell_angle_alpha 33.03
_cell_angle_beta 33.03
_cell_angle_gamma 33.03
loop_
_symmetry_equiv_pos_as_xyz
'x,y,z'
loop_
_atom_site_label
_atom_site_type_symbol
_atom_site_fract_x
_atom_site_fract_y
_atom_site_fract_z
Tb1 Tb 0.000 0.000 0.000
Np1 Np 0.144 0.144 0.144
Np2 Np 0.856 0.856 0.856
Ni1 Ni 0.082 0.583 0.583
Ni2 Ni 0.333 0.333 0.333
Ni3 Ni 0.417 0.417 0.918
Ni4 Ni 0.417 0.918 0.417
Ni5 Ni 0.500 0.500 0.500
Ni6 Ni 0.583 0.082 0.583
Ni7 Ni 0.583 0.583 0.082
Ni8 Ni 0.667 0.667 0.667
Ni9 Ni 0.918 0.417 0.417
```

Summary:
Energy of formation from the pure elements in eV per atom: -0.248
E in eV/atom: -7.127
Calculated volume in Å³ per cell: 169
Space-group type: R-3m (166)
DOS(E_F) in states/eV per cell: 23.150

***

Entry 3:
Compound: Ho3Au
Source: Alexandria via LeMat-Bulk
Functional: PBE
Structure: optimized geometry

Structure (CIF):
```
data_Ho3Au
_chemical_formula_sum 'Ho3 Au1'
_symmetry_space_group_name_H-M 'P 1'
_symmetry_Int_Tables_number 1
_cell_length_a 3.577
_cell_length_b 3.660
_cell_length_c 9.214
_cell_angle_alpha 90.00
_cell_angle_beta 90.00
_cell_angle_gamma 90.00
loop_
_symmetry_equiv_pos_as_xyz
'x,y,z'
loop_
_atom_site_label
_atom_site_type_symbol
_atom_site_fract_x
_atom_site_fract_y
_atom_site_fract_z
Ho1 Ho 0.000 0.000 0.000
Ho2 Ho 0.000 0.500 0.329
Ho3 Ho 0.500 0.500 0.734
Au1 Au 0.500 0.000 0.477
```

Summary:
Energy of formation from the pure elements in eV per atom: -0.217
E in eV/atom: -4.469
E above lowest polymorph in eV/f.u.: 0.77
Calculated volume in Å³ per cell: 121
Space-group type: Pmm2 (25)
DOS(E_F) in states/eV per cell: 4.794

***

Entry 4:
Compound: Er2MnPt5
Source: Alexandria via LeMat-Bulk
Functional: PBE
Structure: optimized geometry

Structure (CIF):
```
data_Er2MnPt5
_chemical_formula_sum 'Er4 Mn2 Pt10'
_symmetry_space_group_name_H-M 'P 1'
_symmetry_Int_Tables_number 1
_cell_length_a 5.770
_cell_length_b 11.519
_cell_length_c 4.187
_cell_angle_alpha 90.00
_cell_angle_beta 90.00
_cell_angle_gamma 90.00
loop_
_symmetry_equiv_pos_as_xyz
'x,y,z'
loop_
_atom_site_label
_atom_site_type_symbol
_atom_site_fract_x
_atom_site_fract_y
_atom_site_fract_z
Er1 Er 0.212 0.136 0.000
Er2 Er 0.288 0.636 0.000
Er3 Er 0.712 0.364 0.000
Er4 Er 0.788 0.864 0.000
Mn1 Mn 0.000 0.500 0.500
Mn2 Mn 0.500 0.000 0.500
Pt1 Pt 0.000 0.000 0.500
Pt2 Pt 0.032 0.745 0.500
Pt3 Pt 0.216 0.387 0.000
Pt4 Pt 0.284 0.887 0.000
Pt5 Pt 0.468 0.245 0.500
Pt6 Pt 0.500 0.500 0.500
Pt7 Pt 0.532 0.755 0.500
Pt8 Pt 0.716 0.113 0.000
Pt9 Pt 0.784 0.613 0.000
Pt10 Pt 0.968 0.255 0.500
```

Summary:
Energy of formation from the pure elements in eV per atom: -0.985
E in eV/atom: -7.047
Calculated volume in Å³ per cell: 278
Space-group type: Pbam (55)
DOS(E_F) in states/eV per cell: 5.115

***

Entry 5:
Compound: ZnFeMo2
Source: Alexandria via LeMat-Bulk
Functional: PBE
Structure: optimized geometry

Structure (CIF):
```
data_ZnFeMo2
_chemical_formula_sum 'Zn1 Fe1 Mo2'
_symmetry_space_group_name_H-M 'P 1'
_symmetry_Int_Tables_number 1
_cell_length_a 4.720
_cell_length_b 4.720
_cell_length_c 4.941
_cell_angle_alpha 95.64
_cell_angle_beta 95.64
_cell_angle_gamma 31.94
loop_
_symmetry_equiv_pos_as_xyz
'x,y,z'
loop_
_atom_site_label
_atom_site_type_symbol
_atom_site_fract_x
_atom_site_fract_y
_atom_site_fract_z
Zn1 Zn 0.000 0.000 0.000
Fe1 Fe 0.257 0.257 0.768
Mo1 Mo 0.510 0.510 0.511
Mo2 Mo 0.750 0.750 0.256
```

Summary:
Energy of formation from the pure elements in eV per atom: 0.211
E in eV/atom: -7.639
Calculated volume in Å³ per cell: 58
Space-group type: Cm (8)
DOS(E_F) in states/eV per cell: 2.877

***

Entry 6:
Compound: Er8Cd3Os2
Source: Alexandria via LeMat-Bulk
Functional: PBE
Structure: optimized geometry

Structure (CIF):
```
data_Er8Cd3Os2
_chemical_formula_sum 'Er8 Cd3 Os2'
_symmetry_space_group_name_H-M 'P 1'
_symmetry_Int_Tables_number 1
_cell_length_a 10.159
_cell_length_b 10.159
_cell_length_c 4.055
_cell_angle_alpha 92.22
_cell_angle_beta 92.22
_cell_angle_gamma 55.06
loop_
_symmetry_equiv_pos_as_xyz
'x,y,z'
loop_
_atom_site_label
_atom_site_type_symbol
_atom_site_fract_x
_atom_site_fract_y
_atom_site_fract_z
Er1 Er 0.018 0.625 0.255
Er2 Er 0.073 0.073 0.251
Er3 Er 0.345 0.345 0.795
Er4 Er 0.375 0.982 0.745
Er5 Er 0.625 0.018 0.255
Er6 Er 0.655 0.655 0.205
Er7 Er 0.927 0.927 0.749
Er8 Er 0.982 0.375 0.745
Cd1 Cd 0.278 0.722 0.000
Cd2 Cd 0.500 0.500 0.500
Cd3 Cd 0.722 0.278 0.000
Os1 Os 0.236 0.236 0.261
Os2 Os 0.764 0.764 0.739
```

Summary:
Energy of formation from the pure elements in eV per atom: -0.172
E in eV/atom: -4.918
Calculated volume in Å³ per cell: 343
Space-group type: C2/m (12)
DOS(E_F) in states/eV per cell: 11.448

***

Entry 7:
Compound: CoC3
Source: Alexandria via LeMat-Bulk
Functional: PBE
Structure: optimized geometry

Structure (CIF):
```
data_CoC3
_chemical_formula_sum 'Co1 C3'
_symmetry_space_group_name_H-M 'P 1'
_symmetry_Int_Tables_number 1
_cell_length_a 3.612
_cell_length_b 3.612
_cell_length_c 2.913
_cell_angle_alpha 90.00
_cell_angle_beta 90.00
_cell_angle_gamma 123.06
loop_
_symmetry_equiv_pos_as_xyz
'x,y,z'
loop_
_atom_site_label
_atom_site_type_symbol
_atom_site_fract_x
_atom_site_fract_y
_atom_site_fract_z
Co1 Co 0.000 0.000 0.000
C1 C 0.000 0.500 0.500
C2 C 0.500 0.000 0.500
C3 C 0.500 0.500 0.000
```

Summary:
Energy of formation from the pure elements in eV per atom: 2.532
E in eV/atom: -6.162
E above lowest polymorph in eV/f.u.: 7.66
Calculated volume in Å³ per cell: 32
Space-group type: Cmmm (65)
DOS(E_F) in states/eV per cell: 2.946

***

Entry 8:
Compound: ZnFeNiRu
Source: Alexandria via LeMat-Bulk
Functional: PBE
Structure: optimized geometry

Structure (CIF):
```
data_ZnFeNiRu
_chemical_formula_sum 'Zn1 Fe1 Ni1 Ru1'
_symmetry_space_group_name_H-M 'P 1'
_symmetry_Int_Tables_number 1
_cell_length_a 4.166
_cell_length_b 4.166
_cell_length_c 4.166
_cell_angle_alpha 60.00
_cell_angle_beta 60.00
_cell_angle_gamma 60.00
loop_
_symmetry_equiv_pos_as_xyz
'x,y,z'
loop_
_atom_site_label
_atom_site_type_symbol
_atom_site_fract_x
_atom_site_fract_y
_atom_site_fract_z
Zn1 Zn 0.000 0.000 0.000
Fe1 Fe 0.500 0.500 0.500
Ni1 Ni 0.250 0.250 0.250
Ru1 Ru 0.750 0.750 0.750
```

Summary:
Energy of formation from the pure elements in eV per atom: -0.004
E in eV/atom: -6.203
Calculated volume in Å³ per cell: 51
Space-group type: F-43m (216)
DOS(E_F) in states/eV per cell: 2.202